Sb2TePbW PBE-GGA relaxed; ρ = 8.30 g/cm³; space group = P4/mmm, No. 123; distance to the lowest polymorph of the same formula = 0.0 meV per atom; total energy = -5.014 eV/atom; energy relative to the elements, uncorrected = 595 meV per atom; spin magnetization = 0.10 μB/atom
1.0
5.2596 0.0000 0.0000
0.0000 5.2596 0.0000
0.0000 0.0000 5.5114
Pb Sb Te W
1 2 1 1
Direct
0.5000 0.5000 0.5000 Pb
0.0000 0.5000 0.0000 Sb
0.5000 0.0000 0.0000 Sb
0.0000 0.0000 0.5000 Te
0.0000 0.0000 0.0000 W